1.
# Nb3CrFe8

A geometry-optimized Nb3CrFe8 structure (PBE-GGA, Alexandria via LeMat-Bulk).

Geometry as CIF:
```
data_Nb3CrFe8
_chemical_formula_sum 'Nb9 Cr3 Fe24'
_symmetry_space_group_name_H-M 'R 3 m'
_symmetry_Int_Tables_number 160
_symmetry_space_group_name_Hall 'R 3 -2"'
_cell_length_a 4.8027
_cell_length_b 4.8027
_cell_length_c 23.4238
_cell_angle_alpha 90.00
_cell_angle_beta 90.00
_cell_angle_gamma 120.00
loop_
_atom_site_label
_atom_site_type_symbol
_atom_site_fract_x
_atom_site_fract_y
_atom_site_fract_z
Nb1 Nb 0.0000 0.0000 0.0000
Nb2 Nb 0.0000 0.0000 0.1276
Nb3 Nb 0.0000 0.0000 0.5092
Cr1 Cr 0.0000 0.0000 0.6303
Fe1 Fe 0.0000 0.0000 0.3160
Fe2 Fe 0.0000 0.0000 0.8164
Fe3 Fe 0.1671 0.3343 0.3999
Fe4 Fe 0.1674 0.3348 0.8995
```



2.
# Pr3SmDy3Se8 | Alexandria via LeMat-Bulk | PBE-GGA | optimized geometry
data_Pr3SmDy3Se8
_chemical_formula_sum 'Pr9 Sm3 Dy9 Se24'
_symmetry_space_group_name_H-M 'R -3 m'
_symmetry_Int_Tables_number 166
_symmetry_space_group_name_Hall '-R 3 2"'
_cell_length_a 8.2802
_cell_length_b 8.2802
_cell_length_c 20.5443
_cell_angle_alpha 90.00
_cell_angle_beta 90.00
_cell_angle_gamma 120.00
loop_
_atom_site_label
_atom_site_type_symbol
_atom_site_fract_x
_atom_site_fract_y
_atom_site_fract_z
Pr1 Pr 0.0000 0.5000 0.0000
Sm1 Sm 0.0000 0.0000 0.5000
Dy1 Dy 0.0000 0.5000 0.5000
Se1 Se 0.0000 0.0000 0.2446
Se2 Se 0.0115 0.5058 0.7526
# - Formation energy (no corrections): -179.2 kJ per mole of atoms



3.
# CdAg3Pd7

A geometry-optimized CdAg3Pd7 structure (PBE-GGA, Alexandria via LeMat-Bulk).

Geometry as CIF:
```
data_CdAg3Pd7
_chemical_formula_sum 'Cd2 Ag6 Pd14'
_symmetry_space_group_name_H-M 'C 1 2/m 1'
_symmetry_Int_Tables_number 12
_cell_length_a 9.2685
_cell_length_b 9.2845
_cell_length_c 5.1296
_cell_angle_alpha 90.00
_cell_angle_beta 114.42
_cell_angle_gamma 90.00
loop_
_symmetry_equiv_pos_as_xyz
'x,y,z'
'-x,-y,-z'
'-x,y,-z'
'x,-y,z'
'x+1/2,y+1/2,z'
'-x+1/2,-y+1/2,-z'
'-x+1/2,y+1/2,-z'
'x+1/2,-y+1/2,z'
loop_
_atom_site_label
_atom_site_type_symbol
_atom_site_fract_x
_atom_site_fract_y
_atom_site_fract_z
Cd1 Cd 0.0000 0.0000 0.0000
Ag1 Ag 0.0000 0.2921 0.5000
Ag2 Ag 0.0000 0.5000 0.0000
Pd1 Pd 0.0000 0.0000 0.5000
Pd2 Pd 0.1756 0.2554 0.1769
Pd3 Pd 0.2191 0.5000 0.5376
```



4.
# Tm8Co2Pb

A geometry-optimized Tm8Co2Pb structure (PBE-GGA, Alexandria via LeMat-Bulk).

Geometry as CIF:
```
data_Tm8Co2Pb
_chemical_formula_sum 'Tm16 Co4 Pb2'
_symmetry_space_group_name_H-M 'C 1 2/m 1'
_symmetry_Int_Tables_number 12
_cell_length_a 8.5511
_cell_length_b 12.9527
_cell_length_c 5.2778
_cell_angle_alpha 90.00
_cell_angle_beta 103.44
_cell_angle_gamma 90.00
loop_
_symmetry_equiv_pos_as_xyz
'x,y,z'
'-x,-y,-z'
'-x,y,-z'
'x,-y,z'
'x+1/2,y+1/2,z'
'-x+1/2,-y+1/2,-z'
'-x+1/2,y+1/2,-z'
'x+1/2,-y+1/2,z'
loop_
_atom_site_label
_atom_site_type_symbol
_atom_site_fract_x
_atom_site_fract_y
_atom_site_fract_z
Tm1 Tm 0.0000 0.2488 0.0000
Tm2 Tm 0.1070 0.0000 0.7965
Tm3 Tm 0.2021 0.3676 0.5766
Co1 Co 0.0000 0.1913 0.5000
Pb1 Pb 0.0000 0.5000 0.0000
```



5.
# SrAsSe2F | Alexandria via LeMat-Bulk | PBE-GGA | optimized geometry
data_SrAsSe2F
_chemical_formula_sum 'Sr1 As1 Se2 F1'
_symmetry_space_group_name_H-M 'P 4/m m m'
_symmetry_Int_Tables_number 123
_symmetry_space_group_name_Hall '-P 4 2'
_cell_length_a 5.3149
_cell_length_b 5.3149
_cell_length_c 4.0747
_cell_angle_alpha 90.00
_cell_angle_beta 90.00
_cell_angle_gamma 90.00
loop_
_atom_site_label
_atom_site_type_symbol
_atom_site_fract_x
_atom_site_fract_y
_atom_site_fract_z
Sr1 Sr 0.0000 0.0000 0.0000
As1 As 0.5000 0.5000 0.0000
Se1 Se 0.0000 0.5000 0.5000
F1 F 0.5000 0.5000 0.5000
# - Formation energy (no corrections): -65.7 kJ per mole of atoms



6.
# Mg2CoIr

A geometry-optimized Mg2CoIr structure (PBE-GGA, Alexandria via LeMat-Bulk).

Geometry as CIF:
```
data_Mg2CoIr
_chemical_formula_sum 'Mg4 Co2 Ir2'
_symmetry_space_group_name_H-M 'C m m m'
_symmetry_Int_Tables_number 65
_symmetry_space_group_name_Hall '-C 2 2'
_cell_length_a 5.4819
_cell_length_b 7.5693
_cell_length_c 2.9045
_cell_angle_alpha 90.00
_cell_angle_beta 90.00
_cell_angle_gamma 90.00
loop_
_atom_site_label
_atom_site_type_symbol
_atom_site_fract_x
_atom_site_fract_y
_atom_site_fract_z
Mg1 Mg 0.2500 0.2500 0.0000
Co1 Co 0.0000 0.0000 0.5000
Ir1 Ir 0.0000 0.5000 0.5000
```



7.
# AlPbSe2 | Alexandria via LeMat-Bulk | PBE-GGA | optimized geometry
data_AlPbSe2
_chemical_formula_sum 'Al1 Pb1 Se2'
_symmetry_space_group_name_H-M 'P 1 2/m 1'
_symmetry_Int_Tables_number 10
_cell_length_a 3.9410
_cell_length_b 3.6286
_cell_length_c 7.1485
_cell_angle_alpha 90.00
_cell_angle_beta 101.74
_cell_angle_gamma 90.00
loop_
_symmetry_equiv_pos_as_xyz
'x,y,z'
'-x,-y,-z'
'-x,y,-z'
'x,-y,z'
loop_
_atom_site_label
_atom_site_type_symbol
_atom_site_fract_x
_atom_site_fract_y
_atom_site_fract_z
Al1 Al 0.0000 0.0000 0.0000
Pb1 Pb 0.5000 0.0000 0.5000
Se1 Se 0.0836 0.5000 0.7691
# - Formation energy (no corrections): -34.0 kJ per mole of atoms



8.
# RbNb2SnPb

A geometry-optimized RbNb2SnPb structure (PBE-GGA, Alexandria via LeMat-Bulk).

Geometry as CIF:
```
data_RbNb2SnPb
_chemical_formula_sum 'Rb1 Nb2 Sn1 Pb1'
_symmetry_space_group_name_H-M 'P 4/m m m'
_symmetry_Int_Tables_number 123
_symmetry_space_group_name_Hall '-P 4 2'
_cell_length_a 5.3310
_cell_length_b 5.3310
_cell_length_c 6.1409
_cell_angle_alpha 90.00
_cell_angle_beta 90.00
_cell_angle_gamma 90.00
loop_
_atom_site_label
_atom_site_type_symbol
_atom_site_fract_x
_atom_site_fract_y
_atom_site_fract_z
Rb1 Rb 0.0000 0.0000 0.0000
Nb1 Nb 0.0000 0.5000 0.5000
Sn1 Sn 0.0000 0.0000 0.5000
Pb1 Pb 0.5000 0.5000 0.0000
```



9.
# TlInSnHg4

A geometry-optimized TlInSnHg4 structure (PBE-GGA, Alexandria via LeMat-Bulk).

Geometry as CIF:
```
data_TlInSnHg4
_chemical_formula_sum 'Tl4 In4 Sn4 Hg16'
_symmetry_space_group_name_H-M 'C m c m'
_symmetry_Int_Tables_number 63
_symmetry_space_group_name_Hall '-C 2c 2'
_cell_length_a 9.4261
_cell_length_b 15.3759
_cell_length_c 6.5763
_cell_angle_alpha 90.00
_cell_angle_beta 90.00
_cell_angle_gamma 90.00
loop_
_atom_site_label
_atom_site_type_symbol
_atom_site_fract_x
_atom_site_fract_y
_atom_site_fract_z
Tl1 Tl 0.0000 0.1042 0.2500
In1 In 0.0000 0.1557 0.7500
Sn1 Sn 0.0000 0.5000 0.0000
Hg1 Hg 0.0000 0.3067 0.0167
Hg2 Hg 0.2427 0.0470 0.7500
```



10.
# Ca2TbPrHg4

A geometry-optimized Ca2TbPrHg4 structure (PBE-GGA, Alexandria via LeMat-Bulk).

Geometry as CIF:
```
data_Ca2TbPrHg4
_chemical_formula_sum 'Ca6 Tb3 Pr3 Hg12'
_symmetry_space_group_name_H-M 'R -3 m'
_symmetry_Int_Tables_number 166
_symmetry_space_group_name_Hall '-R 3 2"'
_cell_length_a 5.3509
_cell_length_b 5.3509
_cell_length_c 26.2530
_cell_angle_alpha 90.00
_cell_angle_beta 90.00
_cell_angle_gamma 120.00
loop_
_atom_site_label
_atom_site_type_symbol
_atom_site_fract_x
_atom_site_fract_y
_atom_site_fract_z
Ca1 Ca 0.0000 0.0000 0.2492
Tb1 Tb 0.0000 0.0000 0.5000
Pr1 Pr 0.0000 0.0000 0.0000
Hg1 Hg 0.0000 0.0000 0.1267
Hg2 Hg 0.0000 0.0000 0.3776
```



11.
# CsMgCdHg2

A geometry-optimized CsMgCdHg2 structure (PBE-GGA, Alexandria via LeMat-Bulk).

Geometry as CIF:
```
data_CsMgCdHg2
_chemical_formula_sum 'Cs1 Mg1 Cd1 Hg2'
_symmetry_space_group_name_H-M 'P 4/m m m'
_symmetry_Int_Tables_number 123
_symmetry_space_group_name_Hall '-P 4 2'
_cell_length_a 5.8258
_cell_length_b 5.8258
_cell_length_c 5.5152
_cell_angle_alpha 90.00
_cell_angle_beta 90.00
_cell_angle_gamma 90.00
loop_
_atom_site_label
_atom_site_type_symbol
_atom_site_fract_x
_atom_site_fract_y
_atom_site_fract_z
Cs1 Cs 0.0000 0.0000 0.0000
Mg1 Mg 0.5000 0.5000 0.0000
Cd1 Cd 0.5000 0.5000 0.5000
Hg1 Hg 0.0000 0.5000 0.5000
```



12.
# Ba2ErAlTe5 | Alexandria via LeMat-Bulk | PBE-GGA | optimized geometry
data_Ba2ErAlTe5
_chemical_formula_sum 'Ba8 Er4 Al4 Te20'
_symmetry_space_group_name_H-M 'C m c 21'
_symmetry_Int_Tables_number 36
_cell_length_a 4.4919
_cell_length_b 20.5307
_cell_length_c 14.2990
_cell_angle_alpha 90.00
_cell_angle_beta 90.00
_cell_angle_gamma 90.00
loop_
_symmetry_equiv_pos_as_xyz
'x,y,z'
'-x,-y,z+1/2'
'-x,y,z'
'x,-y,z+1/2'
'x+1/2,y+1/2,z'
'-x+1/2,-y+1/2,z+1/2'
'-x+1/2,y+1/2,z'
'x+1/2,-y+1/2,z+1/2'
loop_
_atom_site_label
_atom_site_type_symbol
_atom_site_fract_x
_atom_site_fract_y
_atom_site_fract_z
Ba1 Ba 0.0000 0.1223 0.0000
Ba2 Ba 0.0000 0.1251 0.6371
Er1 Er 0.0000 0.2053 0.3396
Al1 Al 0.0000 0.4359 0.7427
Te1 Te 0.0000 0.0484 0.3494
Te2 Te 0.0000 0.2957 0.9823
Te3 Te 0.0000 0.3112 0.6869
Te4 Te 0.0000 0.3501 0.3200
Te5 Te 0.0000 0.4986 0.5852
# - Formation energy (no corrections): -128.5 kJ per mole of atoms



13.
# La2CeSc

A geometry-optimized La2CeSc structure (PBE-GGA, Alexandria via LeMat-Bulk).

Geometry as CIF:
```
data_La2CeSc
_chemical_formula_sum 'La6 Ce3 Sc3'
_symmetry_space_group_name_H-M 'R 3 m'
_symmetry_Int_Tables_number 160
_symmetry_space_group_name_Hall 'R 3 -2"'
_cell_length_a 4.1463
_cell_length_b 4.1463
_cell_length_c 25.1247
_cell_angle_alpha 90.00
_cell_angle_beta 90.00
_cell_angle_gamma 120.00
loop_
_atom_site_label
_atom_site_type_symbol
_atom_site_fract_x
_atom_site_fract_y
_atom_site_fract_z
La1 La 0.0000 0.0000 0.0000
La2 La 0.0000 0.0000 0.1984
Ce1 Ce 0.0000 0.0000 0.6031
Sc1 Sc 0.0000 0.0000 0.4334
```



14.
# KTaRu2

A geometry-optimized KTaRu2 structure (PBE-GGA, Alexandria via LeMat-Bulk).

Geometry as CIF:
```
data_KTaRu2
_chemical_formula_sum 'K4 Ta4 Ru8'
_symmetry_space_group_name_H-M 'F m -3 m'
_symmetry_Int_Tables_number 225
_symmetry_space_group_name_Hall '-F 4 2 3'
_cell_length_a 6.5334
_cell_length_b 6.5334
_cell_length_c 6.5334
_cell_angle_alpha 90.00
_cell_angle_beta 90.00
_cell_angle_gamma 90.00
loop_
_atom_site_label
_atom_site_type_symbol
_atom_site_fract_x
_atom_site_fract_y
_atom_site_fract_z
K1 K 0.0000 0.0000 0.0000
Ta1 Ta 0.0000 0.0000 0.5000
Ru1 Ru 0.2500 0.2500 0.2500
```



15.
# CoMoRh2

A geometry-optimized CoMoRh2 structure (PBE-GGA, Alexandria via LeMat-Bulk).

Geometry as CIF:
```
data_CoMoRh2
_chemical_formula_sum 'Co1 Mo1 Rh2'
_symmetry_space_group_name_H-M 'P 1 2/m 1'
_symmetry_Int_Tables_number 10
_cell_length_a 4.6427
_cell_length_b 2.7101
_cell_length_c 4.6470
_cell_angle_alpha 90.00
_cell_angle_beta 109.69
_cell_angle_gamma 90.00
loop_
_symmetry_equiv_pos_as_xyz
'x,y,z'
'-x,-y,-z'
'-x,y,-z'
'x,-y,z'
loop_
_atom_site_label
_atom_site_type_symbol
_atom_site_fract_x
_atom_site_fract_y
_atom_site_fract_z
Co1 Co 0.0000 0.0000 0.0000
Mo1 Mo 0.5000 0.5000 0.0000
Rh1 Rh 0.0000 0.5000 0.5000
Rh2 Rh 0.5000 0.0000 0.5000
```



16.
# Sr2TlAu2

A geometry-optimized Sr2TlAu2 structure (PBE-GGA, Alexandria via LeMat-Bulk).

Geometry as CIF:
```
data_Sr2TlAu2
_chemical_formula_sum 'Sr4 Tl2 Au4'
_symmetry_space_group_name_H-M 'I 4/m m m'
_symmetry_Int_Tables_number 139
_symmetry_space_group_name_Hall '-I 4 2'
_cell_length_a 6.0560
_cell_length_b 6.0560
_cell_length_c 8.7788
_cell_angle_alpha 90.00
_cell_angle_beta 90.00
_cell_angle_gamma 90.00
loop_
_atom_site_label
_atom_site_type_symbol
_atom_site_fract_x
_atom_site_fract_y
_atom_site_fract_z
Sr1 Sr 0.0000 0.5000 0.2500
Tl1 Tl 0.0000 0.0000 0.0000
Au1 Au 0.0000 0.0000 0.3468
```



17.
# LiLaDyTm

A geometry-optimized LiLaDyTm structure (PBE-GGA, Alexandria via LeMat-Bulk).

Geometry as CIF:
```
data_LiLaDyTm
_chemical_formula_sum 'Li4 La4 Dy4 Tm4'
_symmetry_space_group_name_H-M 'F -4 3 m'
_symmetry_Int_Tables_number 216
_symmetry_space_group_name_Hall 'F -4 2 3'
_cell_length_a 7.8479
_cell_length_b 7.8479
_cell_length_c 7.8479
_cell_angle_alpha 90.00
_cell_angle_beta 90.00
_cell_angle_gamma 90.00
loop_
_atom_site_label
_atom_site_type_symbol
_atom_site_fract_x
_atom_site_fract_y
_atom_site_fract_z
Li1 Li 0.0000 0.0000 0.0000
La1 La 0.2500 0.2500 0.2500
Dy1 Dy 0.2500 0.2500 0.7500
Tm1 Tm 0.0000 0.0000 0.5000
```



18.
# Tl3ZnSe3 | Alexandria via LeMat-Bulk | PBE-GGA | optimized geometry
data_Tl3ZnSe3
_chemical_formula_sum 'Tl12 Zn4 Se12'
_symmetry_space_group_name_H-M 'P 1 21/c 1'
_symmetry_Int_Tables_number 14
_cell_length_a 8.8752
_cell_length_b 7.6859
_cell_length_c 12.3371
_cell_angle_alpha 90.00
_cell_angle_beta 97.98
_cell_angle_gamma 90.00
loop_
_symmetry_equiv_pos_as_xyz
'x,y,z'
'-x,-y,-z'
'-x,y+1/2,-z+1/2'
'x,-y+1/2,z+1/2'
loop_
_atom_site_label
_atom_site_type_symbol
_atom_site_fract_x
_atom_site_fract_y
_atom_site_fract_z
Tl1 Tl 0.0891 0.1700 0.1293
Tl2 Tl 0.3004 0.7388 0.7859
Tl3 Tl 0.4081 0.2492 0.4196
Zn1 Zn 0.1753 0.5893 0.0447
Se1 Se 0.0697 0.0672 0.3729
Se2 Se 0.2544 0.6102 0.5112
Se3 Se 0.3779 0.0803 0.6570
# - Formation energy (no corrections): -37.6 kJ per mole of atoms



19.
# Re3TcGe

A geometry-optimized Re3TcGe structure (PBE-GGA, Alexandria via LeMat-Bulk).

Geometry as CIF:
```
data_Re3TcGe
_chemical_formula_sum 'Re3 Tc1 Ge1'
_symmetry_space_group_name_H-M 'P m -3 m'
_symmetry_Int_Tables_number 221
_symmetry_space_group_name_Hall '-P 4 2 3'
_cell_length_a 4.4641
_cell_length_b 4.4641
_cell_length_c 4.4641
_cell_angle_alpha 90.00
_cell_angle_beta 90.00
_cell_angle_gamma 90.00
loop_
_atom_site_label
_atom_site_type_symbol
_atom_site_fract_x
_atom_site_fract_y
_atom_site_fract_z
Re1 Re 0.0000 0.0000 0.5000
Tc1 Tc 0.5000 0.5000 0.5000
Ge1 Ge 0.0000 0.0000 0.0000
```



20.
# EuSnPb2

A geometry-optimized EuSnPb2 structure (PBE-GGA, Alexandria via LeMat-Bulk).

Geometry as CIF:
```
data_EuSnPb2
_chemical_formula_sum 'Eu1 Sn1 Pb2'
_symmetry_space_group_name_H-M 'P 4/m m m'
_symmetry_Int_Tables_number 123
_symmetry_space_group_name_Hall '-P 4 2'
_cell_length_a 4.8987
_cell_length_b 4.8987
_cell_length_c 4.8914
_cell_angle_alpha 90.00
_cell_angle_beta 90.00
_cell_angle_gamma 90.00
loop_
_atom_site_label
_atom_site_type_symbol
_atom_site_fract_x
_atom_site_fract_y
_atom_site_fract_z
Eu1 Eu 0.0000 0.0000 0.0000
Sn1 Sn 0.5000 0.5000 0.0000
Pb1 Pb 0.0000 0.5000 0.5000
```



| no. | E_tot (eV per atom) |
| --- | --- |
| 1 | -9.033 |
| 2 | -5.906 |
| 3 | -3.989 |
| 4 | -5.049 |
| 5 | -3.715 |
| 6 | -4.818 |
| 7 | -3.957 |
| 8 | -4.372 |
| 9 | -1.374 |
| 10 | -2.364 |
| 11 | -0.807 |
| 12 | -4.427 |
| 13 | -5.057 |
| 14 | -6.943 |
| 15 | -8.150 |
| 16 | -2.945 |
| 17 | -3.821 |
| 18 | -3.080 |
| 19 | -8.597 |
| 20 | -5.835 |